Record 1
## Nd2NiAg3 (GGA-PBE)

Data for Nd2NiAg3 after structural relaxation.

Computed properties:
* ΔH_f (0 K): -1.3 eV/f.u.
* E: -4.2012 eV/atom

a = 3.701 Å, b = 4.709 Å, c = 7.932 Å
α = 90.00°, β = 90.00°, γ = 90.00°
Sites, in units of the cell vectors:
1 Nd 0.000 0.500 0.032
2 Nd 0.000 0.000 0.484
3 Ni 0.500 0.500 0.323
4 Ag 0.500 0.000 0.832
5 Ag 0.500 0.000 0.176
6 Ag 0.500 0.500 0.653


Record 2
## Ni2AuSe (GGA-PBE)

Data for Ni2AuSe after structural relaxation.

Computed properties:
* E: -4.4016 eV/atom
* energy relative to the elements, uncorrected: 180 meV/atom

a = 6.772 Å, b = 6.772 Å, c = 5.491 Å
α = 51.93°, β = 51.93°, γ = 90.00°
Sites, in units of the cell vectors:
1 Ni 0.588 0.125 0.250
2 Ni 0.162 0.625 0.250
3 Ni 0.375 0.412 0.750
4 Ni 0.875 0.838 0.750
5 Au 0.000 0.000 0.000
6 Au 0.750 0.250 0.500
7 Se 0.500 0.500 0.000
8 Se 0.250 0.750 0.500


Record 3
## YHoBiO2 (GGA-PBE)

Data for YHoBiO2 after structural relaxation.

Computed properties:
* E: -7.6423 eV/atom
* energy relative to the elements, uncorrected: -2674 meV/atom

a = 3.886 Å, b = 3.886 Å, c = 7.318 Å
α = 105.40°, β = 105.40°, γ = 90.00°
Sites, in units of the cell vectors:
1 Y 0.168 0.168 0.336
2 Ho 0.831 0.831 0.661
3 Bi 0.500 0.500 0.999
4 O 0.751 0.251 0.502
5 O 0.251 0.751 0.502


Record 4
## SrTlBPb (GGA-PBE)

Data for SrTlBPb after structural relaxation.

Computed properties:
* ΔH_f (0 K): 1.4 eV/f.u.
* E: -3.2483 eV/atom
* relative energy among the computed polymorphs: 0.1110 eV/atom

a = 3.784 Å, b = 4.977 Å, c = 11.268 Å
α = 90.00°, β = 89.97°, γ = 90.00°
Sites, in units of the cell vectors:
1 Pb 0.484 0.000 0.948
2 Pb 0.484 0.500 0.448
3 Sr 0.984 0.000 0.268
4 Sr 0.984 0.500 0.768
5 Tl 0.985 0.000 0.577
6 Tl 0.985 0.500 0.077
7 B 0.484 0.000 0.736
8 B 0.484 0.500 0.236


Record 5
## Sr2LiIn6Pt (GGA-PBE)

Data for Sr2LiIn6Pt after structural relaxation.

Computed properties:
* ΔH_f (0 K): -2.8 eV/f.u.
* E: -3.0532 eV/atom

a = 7.363 Å, b = 7.365 Å, c = 7.296 Å
α = 60.33°, β = 60.34°, γ = 90.42°
Sites, in units of the cell vectors:
1 Sr 0.208 0.792 0.500
2 Sr 0.792 0.208 0.500
3 Li 0.500 0.500 0.000
4 In 0.257 0.743 0.000
5 In 0.712 0.712 0.066
6 In 0.288 0.289 0.489
7 In 0.743 0.257 0.000
8 In 0.288 0.288 0.934
9 In 0.712 0.711 0.511
10 Pt 0.000 0.000 0.000


Record 6
## TlPRu (GGA-PBE)

Data for TlPRu after structural relaxation.

Computed properties:
* ΔH_f (0 K): 0.5 eV/f.u.
* E: -5.5095 eV/atom
* relative energy among the computed polymorphs: 0.5201 eV/atom

a = 3.875 Å, b = 3.875 Å, c = 5.173 Å
α = 90.00°, β = 90.00°, γ = 120.00°
Sites, in units of the cell vectors:
1 Tl 0.333 0.667 0.500
2 P 0.000 0.000 0.000
3 Ru 0.667 0.333 0.000


Record 7
## RuPtBr (GGA-PBE)

Data for RuPtBr after structural relaxation.

Computed properties:
* E: -4.8672 eV/atom
* energy relative to the elements, uncorrected: 796 meV/atom
* relative energy among the computed polymorphs: 0.2531 eV/atom

a = 4.358 Å, b = 4.358 Å, c = 4.358 Å
α = 60.00°, β = 60.00°, γ = 60.00°
Sites, in units of the cell vectors:
1 Ru 0.750 0.750 0.750
2 Br 0.000 0.000 0.000
3 Pt 0.500 0.500 0.500


Record 8
## Sm3TlS (GGA-PBE)

Data for Sm3TlS after structural relaxation.

Computed properties:
* E: -4.9721 eV/atom
* energy relative to the elements, uncorrected: -842 meV/atom
* relative energy among the computed polymorphs: 0.1390 eV/atom

a = 5.312 Å, b = 5.312 Å, c = 5.312 Å
α = 90.00°, β = 90.00°, γ = 90.00°
Sites, in units of the cell vectors:
1 Tl 0.500 0.500 0.500
2 S 0.000 0.000 0.000
3 Sm 0.000 0.500 0.000
4 Sm 0.000 0.000 0.500
5 Sm 0.500 0.000 0.000


Record 9
## TbVPd6 (GGA-PBE)

Data for TbVPd6 after structural relaxation.

Computed properties:
* ΔH_f (0 K): -4.4 eV/f.u.
* E: -6.1609 eV/atom

a = 4.015 Å, b = 4.015 Å, c = 8.017 Å
α = 90.00°, β = 90.00°, γ = 90.00°
Sites, in units of the cell vectors:
1 Tb 0.000 0.000 0.000
2 V 0.000 0.000 0.500
3 Pd 0.500 0.500 0.000
4 Pd 0.500 0.500 0.500
5 Pd 0.500 0.000 0.269
6 Pd 0.500 0.000 0.731
7 Pd 0.000 0.500 0.269
8 Pd 0.000 0.500 0.731


Record 10
## Ta4Hg5 (GGA-PBE)

Data for Ta4Hg5 after structural relaxation.

Computed properties:
* ΔH_f (0 K): 2.4 eV/f.u.
* E: -5.1711 eV/atom
* relative energy among the computed polymorphs: 0.0000 eV/atom

a = 7.353 Å, b = 7.353 Å, c = 7.353 Å
α = 93.36°, β = 93.36°, γ = 151.96°
Sites, in units of the cell vectors:
1 Ta 0.000 0.653 0.653
2 Ta 0.000 0.347 0.347
3 Ta 0.347 0.000 0.347
4 Ta 0.653 0.000 0.653
5 Hg 0.000 0.000 0.000
6 Hg 0.331 0.669 0.000
7 Hg 0.669 0.331 0.000
8 Hg 0.331 0.331 0.662
9 Hg 0.669 0.669 0.338


Record 11
## AlPbSe2 (GGA-PBE)

Data for AlPbSe2 after structural relaxation.

Computed properties:
* E: -3.3889 eV/atom
* energy relative to the elements, uncorrected: 216 meV/atom

a = 5.120 Å, b = 5.120 Å, c = 5.120 Å
α = 60.00°, β = 60.00°, γ = 60.00°
Sites, in units of the cell vectors:
1 Pb 0.250 0.250 0.250
2 Al 0.500 0.500 0.500
3 Se 0.000 0.000 0.000
4 Se 0.750 0.750 0.750


Record 12
## NaPt3 (GGA-PBE)

Data for NaPt3 after structural relaxation.

Computed properties:
* ΔH_f (0 K): -0.3 eV/f.u.
* E: -4.9384 eV/atom

a = 4.859 Å, b = 4.859 Å, c = 2.746 Å
α = 90.00°, β = 90.00°, γ = 90.00°
Sites, in units of the cell vectors:
1 Na 0.000 0.000 0.000
2 Pt 0.000 0.500 0.500
3 Pt 0.500 0.000 0.500
4 Pt 0.500 0.500 0.000


Record 13
## ZrMn2Fe (GGA-PBE)

Data for ZrMn2Fe after structural relaxation.

Computed properties:
* ΔH_f (0 K): 2.8 eV/f.u.
* E: -8.1338 eV/atom
* relative energy among the computed polymorphs: 0.6488 eV/atom

a = 4.143 Å, b = 4.143 Å, c = 8.287 Å
α = 75.53°, β = 75.53°, γ = 90.00°
Sites, in units of the cell vectors:
1 Mn 0.375 0.125 0.250
2 Mn 0.375 0.625 0.250
3 Mn 0.375 0.625 0.750
4 Mn 0.875 0.625 0.750
5 Fe 0.500 0.500 0.000
6 Fe 0.250 0.750 0.500
7 Zr 0.000 0.000 0.000
8 Zr 0.750 0.250 0.500


Record 14
## AcUPd2O8 (GGA-PBE)

Data for AcUPd2O8 after structural relaxation.

Computed properties:
* E: -7.0709 eV/atom
* energy relative to the elements, uncorrected: -1617 meV/atom

a = 6.237 Å, b = 6.237 Å, c = 6.237 Å
α = 108.76°, β = 108.76°, γ = 110.91°
Sites, in units of the cell vectors:
1 Ac 0.250 0.750 0.500
2 U 0.000 0.000 0.000
3 Pd 0.750 0.250 0.500
4 Pd 0.500 0.500 0.000
5 O 0.344 0.055 0.289
6 O 0.284 0.447 0.163
7 O 0.284 0.121 0.837
8 O 0.766 0.055 0.711
9 O 0.879 0.716 0.163
10 O 0.945 0.234 0.289
11 O 0.945 0.656 0.711
12 O 0.553 0.716 0.837


Record 15
## CrAsRu (GGA-PBE)

Data for CrAsRu after structural relaxation.

Computed properties:
* ΔH_f (0 K): -0.1 eV/f.u.
* E: -7.8793 eV/atom

a = 4.072 Å, b = 4.072 Å, c = 4.072 Å
α = 60.00°, β = 60.00°, γ = 60.00°
Sites, in units of the cell vectors:
1 As 0.000 0.000 0.000
2 Cr 0.500 0.500 0.500
3 Ru 0.750 0.750 0.750


Record 16
## CaAl2Zn (GGA-PBE)

Data for CaAl2Zn after structural relaxation.

Computed properties:
* ΔH_f (0 K): -0.4 eV/f.u.
* E: -2.7838 eV/atom

a = 4.286 Å, b = 3.372 Å, c = 6.023 Å
α = 74.71°, β = 90.00°, γ = 90.00°
Sites, in units of the cell vectors:
1 Zn 0.500 0.927 0.772
2 Ca 0.000 0.539 0.533
3 Al 0.000 0.810 0.017
4 Al 0.500 0.223 0.177


Record 17
## NaPm2MgTe4 (GGA-PBE)

Data for NaPm2MgTe4 after structural relaxation.

Computed properties:
* E: -4.3071 eV/atom
* energy relative to the elements, uncorrected: -1184 meV/atom

a = 4.373 Å, b = 7.821 Å, c = 7.613 Å
α = 71.52°, β = 90.00°, γ = 90.00°
Sites, in units of the cell vectors:
1 Na 0.500 0.500 0.000
2 Pm 0.000 0.000 0.000
3 Pm 0.500 0.000 0.500
4 Mg 0.000 0.500 0.500
5 Te 0.000 0.745 0.743
6 Te 0.000 0.255 0.257
7 Te 0.500 0.737 0.262
8 Te 0.500 0.263 0.738


Record 18
## KP2Os (GGA-PBE)

Data for KP2Os after structural relaxation.

Computed properties:
* ΔH_f (0 K): 1.8 eV/f.u.
* E: -5.3305 eV/atom
* relative energy among the computed polymorphs: 0.6172 eV/atom

a = 4.497 Å, b = 2.558 Å, c = 6.836 Å
α = 90.06°, β = 90.00°, γ = 90.00°
Sites, in units of the cell vectors:
1 K 0.000 0.500 0.480
2 Os 0.500 0.999 0.844
3 P 0.000 0.000 0.988
4 P 0.500 0.000 0.188


Record 19
## VIn3Sb (GGA-PBE)

Data for VIn3Sb after structural relaxation.

Computed properties:
* E: -3.6816 eV/atom
* energy relative to the elements, uncorrected: 610 meV/atom
* relative energy among the computed polymorphs: 0.0000 eV/atom

a = 5.323 Å, b = 5.323 Å, c = 5.323 Å
α = 90.00°, β = 90.00°, γ = 90.00°
Sites, in units of the cell vectors:
1 Sb 0.500 0.500 0.500
2 In 0.000 0.500 0.000
3 In 0.000 0.000 0.500
4 In 0.500 0.000 0.000
5 V 0.000 0.000 0.000


Record 20
## Nb2HgSbC (GGA-PBE)

Data for Nb2HgSbC after structural relaxation.

Computed properties:
* E: -6.2754 eV/atom
* energy relative to the elements, uncorrected: 482 meV/atom

a = 4.440 Å, b = 4.558 Å, c = 4.440 Å
α = 90.00°, β = 90.00°, γ = 90.00°
Sites, in units of the cell vectors:
1 C 0.000 0.000 0.000
2 Sb 0.500 0.500 0.500
3 Nb 0.000 0.000 0.500
4 Nb 0.500 0.000 0.000
5 Hg 0.000 0.500 0.000